4
Lattice="-0.847 -0.797 -2.643 2.687 0.394 -0.980 1.628 -7.094 1.617" Properties=species:S:1:pos:R:3 comment="TaIr2Se, relaxed, DFT GGA-PBEsol" rho_g_cm3=17.21 vol_a3_per_cell=62.2 spacegroup="P4/mmm, No. 123" energy_ev_per_atom=-9.13 pbc="T T T"
Ta 1.734 -3.748 -1.003
Ir 0.408 -1.777 0.405
Ir 1.220 -5.316 1.212
Se 0.920 -0.202 -1.812

=====

4
Lattice="-2.843 1.092 -2.044 -0.251 -4.940 0.999 -2.316 3.138 4.898" Properties=species:S:1:pos:R:3 comment="MnSbTe2, relaxed, DFT GGA-PBEsol" rho_g_cm3=7.07 vol_a3_per_cell=101.5 spacegroup="Cm, No. 8" energy_ev_per_atom=-5.28 pbc="T T T"
Te -3.146 -3.509 -0.790
Te -2.146 0.725 3.373
Mn -2.407 1.424 0.819
Sb -3.383 -1.083 0.835

=====

3
Lattice="-2.172 1.126 1.291 0.169 -2.325 1.490 5.003 3.553 2.765" Properties=species:S:1:pos:R:3 comment="ZnHgMo, relaxed, DFT GGA-PBEsol" rho_g_cm3=12.24 vol_a3_per_cell=49.1 spacegroup="Fmm2, No. 42" formation_energy_kcal_per_mol_atoms=7.36 pbc="T T T"
Zn 0.393 0.430 2.838
Hg 0.009 0.007 0.009
Mo 2.599 1.918 2.698

=====

52
Lattice="-7.873 -5.636 -7.531 2.542 -11.838 -3.788 -9.464 -6.810 5.000" Properties=species:S:1:pos:R:3 comment="K2PdSe10, relaxed, DFT GGA-PBEsol" rho_g_cm3=4.28 vol_a3_per_cell=1512.8 spacegroup="I-42d, No. 122" energy_ev_per_atom=-3.97 pbc="T T T"
Pd -5.429 -10.733 -1.277
Pd -3.936 -2.818 -3.766
Pd 0.000 0.000 0.000
Pd -9.365 -13.551 -5.042
Se -7.553 -14.443 -6.406
Se -11.398 -15.657 -2.611
Se -9.135 -7.384 -3.189
Se -5.965 -11.932 -8.094
Se -3.346 -6.350 -2.294
Se -7.012 -10.788 0.582
Se -11.698 -11.204 0.472
Se -9.232 -15.501 -3.586
Se -4.606 -12.944 -0.646
Se -15.428 -13.113 -3.891
Se -2.711 -12.729 -3.179
Se -8.584 -9.050 0.208
Se -10.177 -19.885 -4.285
Se -3.718 -10.587 -3.012
Se -11.275 -10.384 -4.146
Se -7.711 -7.720 -6.277
Se -11.886 -18.247 -4.443
Se -4.859 -7.687 -3.597
Se -0.460 -6.526 -0.900
Se -7.644 -18.082 -5.166
Se -4.308 -15.932 -1.837
Se -7.191 -16.641 -0.144
Se -7.132 -16.730 -9.856
Se -14.944 -16.492 -3.720
Se -3.225 -13.172 -6.913
Se -13.434 -19.103 -6.069
Se -4.020 -13.918 -4.806
Se -4.565 -4.352 1.319
Se -1.202 -8.760 -3.892
Se -7.969 -18.736 -8.886
Se -4.489 -4.307 -1.911
Se -8.314 -15.108 1.289
Se -9.391 -11.525 -6.396
Se -11.285 -12.737 -3.781
Se -6.381 -8.614 -2.030
Se -10.337 -10.054 -1.095
Se -6.455 -16.002 -4.981
Se -11.414 -14.203 -0.697
Se -7.826 -6.264 1.609
Se -5.479 -8.460 -6.650
K -9.995 -16.665 -7.052
K -14.199 -10.383 -2.357
K -8.384 -13.044 -1.448
K -0.783 -3.225 -1.767
K -10.078 -18.244 -0.789
K -4.528 -16.717 -7.724
K -6.407 -11.237 -4.867
K -4.803 -7.621 0.730

=====

9
Lattice="-2.691 2.067 -3.034 2.959 -1.523 -3.663 -3.799 -2.822 1.448" Properties=species:S:1:pos:R:3 comment="Li2SnF6, relaxed, DFT GGA-PBEsol" rho_g_cm3=4.24 vol_a3_per_cell=96.5 spacegroup="P-31m, No. 162" energy_ev_per_atom=-4.96 pbc="T T T"
Li -2.892 -1.355 -1.773
Li -0.640 -0.923 -3.476
F -4.561 -0.354 -1.290
F -0.019 0.518 -4.725
F -2.284 0.117 -2.990
F 0.287 0.025 -1.972
F -1.929 -0.400 -0.296
F -1.248 -2.395 -2.259
Sn 0.000 0.000 0.000

=====

5
Lattice="5.170 0.000 0.000 0.000 5.170 0.000 0.000 0.000 5.170" Properties=species:S:1:pos:R:3 comment="LiY3Co, relaxed, DFT GGA-PBEsol" rho_g_cm3=4.00 vol_a3_per_cell=138.2 spacegroup="Pm-3m, No. 221" formation_energy_kcal_per_mol_atoms=0.37 pbc="T T T"
Co 0.000 0.000 0.000
Y 0.000 0.000 2.585
Y 2.585 0.000 0.000
Y 0.000 2.585 0.000
Li 2.585 2.585 2.585